Record 1
A plane-wave DFT calculation with GGA-PBE was carried out for an optimized crystal structure of CaThSb2.

The structure in POSCAR format:
```
CaThSb2
1.0
5.665 0.000 0.000
0.000 5.665 0.000
0.000 0.000 3.588
Ca Th Sb
1 1 2
direct
0.000 0.000 0.000
0.500 0.500 0.000
0.000 0.500 0.500
0.500 0.000 0.500
```

**Excess energy over the best structure of this formula in the dataset**: 199.8 meV per atom
**Crystal system**: tetragonal
**SG**: No. 123
**ΔE_f (raw)**: -0.787 eV per atom
**ρ**: 7.4 Mg/m³
**Magnetization**: 0.00 μB per cell

---

Record 2
A plane-wave DFT calculation with GGA-PBE was carried out for an optimized crystal structure of KNaYCl5.

The structure in POSCAR format:
```
KNaYCl5
1.0
4.329 -6.427 0.000
4.329 6.427 0.000
-3.547 0.000 9.440
K Na Y Cl
2 2 2 10
direct
0.152 0.848 0.750
0.848 0.152 0.250
0.186 0.814 0.250
0.814 0.186 0.750
0.500 0.500 0.000
0.500 0.500 0.500
0.135 0.244 0.944
0.201 0.573 0.401
0.244 0.135 0.444
0.423 0.577 0.750
0.427 0.799 0.099
0.573 0.201 0.901
0.577 0.423 0.250
0.756 0.865 0.556
0.799 0.427 0.599
0.865 0.756 0.056
```

**Crystal system**: monoclinic
**SG**: No. 15
**ΔE_f (raw)**: -2.083 eV per atom
**ρ**: 2.1 Mg/m³
**Magnetization**: 0.00 μB per cell

---

Record 3
A plane-wave DFT calculation with GGA-PBE was carried out for an optimized crystal structure of Pm6SnRh3.

The structure in POSCAR format:
```
Pm6SnRh3
1.0
11.826 0.000 0.000
0.000 4.169 0.000
-3.772 0.000 11.631
Pm Sn Rh
12 2 6
direct
0.026 0.250 0.388
0.110 0.250 0.949
0.214 0.750 0.265
0.296 0.750 0.763
0.359 0.250 0.533
0.425 0.750 0.091
0.575 0.250 0.909
0.641 0.750 0.467
0.704 0.250 0.237
0.786 0.250 0.735
0.890 0.750 0.051
0.974 0.750 0.612
0.449 0.250 0.307
0.551 0.750 0.693
0.047 0.250 0.163
0.179 0.750 0.501
0.342 0.250 0.921
0.658 0.750 0.079
0.821 0.250 0.499
0.953 0.750 0.837
```

**Excess energy over the best structure of this formula in the dataset**: 0.0 meV per atom
**Crystal system**: monoclinic
**ΔH_f (0 K)**: -56.9 kJ/mol of atoms
**SG**: No. 11
**ρ**: 7.5 Mg/m³
**Magnetization**: 0.00 μB per cell

---

Record 4
A plane-wave DFT calculation with GGA-PBE was carried out for an optimized crystal structure of InSb2IrI.

The structure in POSCAR format:
```
InSb2IrI
1.0
5.155 0.000 0.000
0.000 5.155 0.000
0.000 0.000 5.932
In Sb Ir I
1 2 1 1
direct
0.000 0.000 0.000
0.000 0.500 0.500
0.500 0.000 0.500
0.500 0.500 0.500
0.500 0.500 0.000
```

**Excess energy over the best structure of this formula in the dataset**: 0.0 meV per atom
**Crystal system**: tetragonal
**SG**: No. 123
**ΔE_f (raw)**: 0.333 eV per atom
**ρ**: 7.1 Mg/m³
**Magnetization**: 0.00 μB per cell

---

Record 5
A plane-wave DFT calculation with GGA-PBE was carried out for an optimized crystal structure of IrPb2Se.

The structure in POSCAR format:
```
IrPb2Se
1.0
3.384 0.000 0.000
0.000 3.384 0.000
0.000 0.000 8.001
Ir Pb Se
1 2 1
direct
0.000 0.000 0.000
0.500 0.500 0.223
0.500 0.500 0.777
0.000 0.000 0.500
```

**Crystal system**: tetragonal
**SG**: No. 123
**ΔE_f (raw)**: 0.226 eV per atom
**ρ**: 12.4 Mg/m³
**Magnetization**: 0.00 μB per cell

---

Record 6
A plane-wave DFT calculation with GGA-PBE was carried out for an optimized crystal structure of NaAcSb2.

The structure in POSCAR format:
```
NaAcSb2
1.0
5.214 0.000 0.000
0.000 5.214 0.000
0.000 0.000 4.544
Na Ac Sb
1 1 2
direct
0.000 0.000 0.000
0.500 0.500 0.000
0.000 0.500 0.500
0.500 0.000 0.500
```

**Excess energy over the best structure of this formula in the dataset**: 97.2 meV per atom
**Crystal system**: tetragonal
**SG**: No. 123
**ΔE_f (raw)**: -0.660 eV per atom
**ρ**: 6.6 Mg/m³
**Magnetization**: 0.00 μB per cell

---

Record 7
A plane-wave DFT calculation with GGA-PBE was carried out for an optimized crystal structure of YAl2Fe.

The structure in POSCAR format:
```
YAl2Fe
1.0
4.010 0.000 0.000
0.000 4.173 0.000
0.000 0.000 4.394
Y Al Fe
1 2 1
direct
0.000 0.000 0.000
0.000 0.500 0.500
0.500 0.000 0.500
0.500 0.500 0.000
```

**Crystal system**: orthorhombic
**ΔH_f (0 K)**: -11.5 kJ/mol of atoms
**SG**: No. 47
**ρ**: 4.5 Mg/m³
**Magnetization**: 2.17 μB per cell

---

Record 8
A plane-wave DFT calculation with GGA-PBE was carried out for an optimized crystal structure of MgSeSCl2.

The structure in POSCAR format:
```
MgSeSCl2
1.0
4.621 0.000 0.000
0.000 4.621 0.000
0.000 0.000 5.569
Mg Se S Cl
1 1 1 2
direct
0.000 0.000 0.000
0.500 0.500 0.500
0.000 0.000 0.500
0.000 0.500 0.000
0.500 0.000 0.000
```

**Excess energy over the best structure of this formula in the dataset**: 0.0 meV per atom
**Crystal system**: tetragonal
**SG**: No. 123
**ΔE_f (raw)**: -0.280 eV per atom
**ρ**: 2.9 Mg/m³
**Magnetization**: 1.14 μB per cell

---

- Look up the ρ of the seventh one.
  4.5 Mg/m³